No. 1
Computed, not measured: a relaxed structure of Y2Ge4Ir3Ru at the PBE level of DFT.

The space group is P-4m2 (No. 115) and the conventional cell measures 4.278, 4.278 and 9.923 Å, with angles of 90.00, 90.00 and 90.00 degrees. Symmetry generates all atoms from Y at (0.000, 0.500, 0.250), Ge at (0.000, 0.000, 0.000), Ge at (0.000, 0.500, 0.627), Ge at (0.500, 0.500, 0.000), Ir at (0.000, 0.500, 0.872), Ir at (0.500, 0.500, 0.500) and Ru at (0.000, 0.000, 0.500).

For the final energy, the calculation gives -74.58 eV for the cell shown.


No. 2
Computed, not measured: a relaxed structure of ZrGeIrRu at the PBE level of DFT.

The space group is F-43m (No. 216) and the conventional cell measures 6.370, 6.370 and 6.370 Å, with angles of 90.00, 90.00 and 90.00 degrees. Symmetry generates all atoms from Zr at (0.000, 0.000, 0.000), Ge at (0.000, 0.000, 0.500), Ir at (0.250, 0.250, 0.750) and Ru at (0.250, 0.250, 0.250).

For the final energy, the calculation gives -132.64 eV for the cell shown.


No. 3
Computed, not measured: a relaxed structure of GeIr2S at the PBE level of DFT.

The space group is Fm-3m (No. 225) and the conventional cell measures 6.165, 6.165 and 6.165 Å, with angles of 90.00, 90.00 and 90.00 degrees. Symmetry generates all atoms from Ge at (0.000, 0.000, 0.000), Ir at (0.250, 0.250, 0.250) and S at (0.000, 0.000, 0.500).

The value obtained for the polymorph energy (0 for the lowest one) is 334 meV per atom.


No. 4
Computed, not measured: a relaxed structure of GeIrS at the PBE level of DFT.

The space group is P3_212 (No. 153) and the conventional cell measures 6.5257, 6.5257 and 4.2499 Å, with angles of 90.00, 90.00 and 120.00 degrees. Symmetry generates all atoms from Ge at (0.1953, 0.3907, 0.3333), Ir at (0.5447, 0.0894, 0.3333) and S at (0.2975, 0.1487, 0.0000).

For the final energy, the calculation gives -54.20 eV for the cell shown.


No. 5
Computed, not measured: a relaxed structure of Ge4Ir2S at the PBE level of DFT.

The space group is Cc (No. 9) and the conventional cell measures 8.520, 8.769 and 7.170 Å, with angles of 90.00, 112.98 and 90.00 degrees. Symmetry generates all atoms from Ge at (0.000, 0.023, 0.000), Ge at (0.070, 0.218, 0.700), Ge at (0.120, 0.270, 0.337), Ge at (0.361, 0.040, 0.385), Ir at (0.278, 0.173, 0.048), Ir at (0.333, 0.353, 0.685) and S at (0.170, 0.420, 0.098).

For the final energy, the calculation gives -165.76 eV for the cell shown.


No. 6
Computed, not measured: a relaxed structure of Ge2IrS at the PBE level of DFT.

The space group is P2_1/c (No. 14) and the conventional cell measures 5.264, 5.465 and 10.642 Å, with angles of 90.00, 104.90 and 90.00 degrees. Symmetry generates all atoms from Ge at (0.045, 0.235, 0.409), Ge at (0.339, 0.663, 0.455), Ir at (0.367, 0.025, 0.601) and S at (0.271, 0.168, 0.241).

For the final energy, the calculation gives -89.67 eV for the cell shown.


no.,density (Mg/m³)
1,10.48
2,11.75
3,13.87
4,9.44
5,9.52
6,8.30